(1)
A plane-wave DFT calculation with GGA-PBE was carried out for a relaxed structure of MnAg3I4.

## Properties
Space-group type ... I-42m
Formation energy without anion corrections ... -0.09 eV/atom

Cell lengths 8.045, 8.045, 8.045 Å; angles 131.50, 131.50, 71.02 degrees
Positions (direct):
Mn1 0.000 0.000 0.000
Ag1 0.250 0.750 0.500
Ag2 0.500 0.500 0.000
Ag3 0.750 0.250 0.500
I1 0.119 0.119 0.477
I2 0.358 0.881 0.000
I3 0.642 0.642 0.523
I4 0.881 0.358 0.000

---

(2)
A plane-wave DFT calculation with GGA-PBE was carried out for a relaxed structure of TiGe3S.

## Properties
Space-group type ... Pm-3m
Formation energy without anion corrections ... 0.58 eV/atom

Cell lengths 4.950, 4.950, 4.950 Å; angles 90.00, 90.00, 90.00 degrees
Positions (direct):
Ti1 0.000 0.000 0.000
Ge1 0.000 0.000 0.500
Ge2 0.000 0.500 0.000
Ge3 0.500 0.000 0.000
S1 0.500 0.500 0.500

---

(3)
A plane-wave DFT calculation with GGA-PBE was carried out for a relaxed structure of Ac2MgP4Rh3.

## Properties
Space-group type ... P-4m2
Formation energy ... -1.01 eV per atom

Cell lengths 4.320, 4.320, 10.035 Å; angles 90.00, 90.00, 90.00 degrees
Positions (direct):
Ac1 0.000 0.500 0.236
Ac2 0.500 0.000 0.764
Mg1 0.000 0.000 0.500
P1 0.000 0.000 0.000
P2 0.000 0.500 0.644
P3 0.500 0.000 0.356
P4 0.500 0.500 0.000
Rh1 0.000 0.500 0.896
Rh2 0.500 0.000 0.104
Rh3 0.500 0.500 0.500

---

(4)
A plane-wave DFT calculation with GGA-PBE was carried out for a relaxed structure of PrNd3Hg3.

## Properties
Space-group type ... Cmmm
Formation energy ... -0.31 eV per atom

Cell lengths 7.661, 7.661, 7.382 Å; angles 90.00, 90.00, 90.37 degrees
Positions (direct):
Pr1 0.242 0.242 0.000
Pr2 0.758 0.758 0.000
Nd1 0.243 0.243 0.500
Nd2 0.244 0.756 0.500
Nd3 0.247 0.753 0.000
Nd4 0.753 0.247 0.000
Nd5 0.756 0.244 0.500
Nd6 0.757 0.757 0.500
Hg1 0.000 0.500 0.252
Hg2 0.000 0.500 0.748
Hg3 0.500 0.000 0.252
Hg4 0.500 0.000 0.748
Hg5 0.500 0.500 0.253
Hg6 0.500 0.500 0.747

---

no.,DFT total energy (eV per atom)
1,-3.080
2,-4.598
3,-6.357
4,-3.170